1.
First-principles (PBE) data for an optimized crystal structure of LaAg2Hg, as listed in Alexandria via LeMat-Bulk.

The structure belongs to space group Pmm2 (No. 25); the cell edges are 3.5824, 3.7200 and 7.1435 Å and the angles 90.00°, 90.00° and 90.00°. The asymmetric unit holds La at (0.0000, 0.0000, 0.0000), Ag at (0.0000, 0.0000, 0.5178), Ag at (0.5000, 0.5000, 0.7149) and Hg at (0.5000, 0.5000, 0.2980).

The energy of formation is -0.1901 eV/atom. As for the crystal system: orthorhombic. The value obtained for the total magnetization is 0.26 μB/f.u. Its density of states at the Fermi level is 0.6820 states/eV/atom.



2.
First-principles (PBE) data for an optimized crystal structure of GaSiNF2, as listed in Alexandria via LeMat-Bulk.

The structure belongs to space group P4/mmm (No. 123); the cell edges are 4.2820, 4.2820 and 3.2759 Å and the angles 90.00°, 90.00° and 90.00°. The asymmetric unit holds Ga at (0.0000, 0.0000, 0.0000), Si at (0.5000, 0.5000, 0.5000), N at (0.5000, 0.5000, 0.0000) and F at (0.0000, 0.5000, 0.5000).

The calculation puts the formation energy from raw total energies at -1.16 eV/atom. As for the crystal system: tetragonal. The value obtained for the total magnetization is 0.00 μB/f.u.